The following is a DFT calculation (PBE) of crystalline Yb2CuGe6 at its relaxed geometry.

Summary:
Calculated density = 7.790 g/cm³
Polymorph energy (0 for the lowest one) = 0 meV/atom
ΔH_f (0 K) = -0.386 eV/atom
Space group = C2/m (12)

Cell and atoms, written as POSCAR:
```
Yb2CuGe6
1.0
5.790 0.014 0.006
-0.140 5.788 0.006
1.396 1.434 10.757
Yb Cu Ge
4 2 12
direct
0.334 0.834 0.663 Yb
0.834 0.334 0.663 Yb
0.666 0.166 0.337 Yb
0.166 0.666 0.337 Yb
0.303 0.303 0.787 Cu
0.697 0.697 0.213 Cu
0.001 0.001 0.884 Ge
0.999 0.999 0.116 Ge
0.557 0.557 0.884 Ge
0.443 0.443 0.116 Ge
0.860 0.860 0.580 Ge
0.140 0.140 0.420 Ge
0.355 0.355 0.562 Ge
0.645 0.645 0.438 Ge
0.555 0.003 0.884 Ge
0.003 0.555 0.884 Ge
0.445 0.997 0.116 Ge
0.997 0.445 0.116 Ge
```